Record 1
Density functional theory data (GGA-PBE) for a relaxed structure of La2DyTm.

Unit cell a=3.639 b=3.639 c=11.957 alpha=81.25 beta=81.25 gamma=60.00
Sites, in units of the cell vectors:
La  0.083  0.083  0.751
La  0.250  0.250  0.250
Dy  0.499  0.499  0.503
Tm  0.668  0.668  0.997

## Properties
Fermi-level density of states	6.3	states/eV/cell
distance to the lowest polymorph of the same formula	0.010	eV per atom
space-group type	R3m (160)


Record 2
Density functional theory data (GGA-PBE) for a relaxed structure of KLiCo2.

Unit cell a=3.659 b=3.659 c=5.018 alpha=90.00 beta=90.00 gamma=90.00
Each line ends with the local moment (μB).
Sites, in units of the cell vectors:
Co  0.000  0.000  0.000  1.72
Co  0.500  0.500  0.000  1.72
K  0.500  0.000  0.500  -0.05
Li  0.000  0.500  0.500  -0.04

## Properties
Fermi-level density of states	2.2	states/eV/cell
distance to the lowest polymorph of the same formula	0.462	eV per atom
space-group type	P4/mmm (123)


Record 3
Density functional theory data (GGA-PBE) for a relaxed structure of Mg2BeI.

Unit cell a=5.118 b=5.118 c=5.118 alpha=60.00 beta=60.00 gamma=60.00
Sites, in units of the cell vectors:
I  0.500  0.500  0.500
Be  0.000  0.000  0.000
Mg  0.250  0.250  0.250
Mg  0.750  0.750  0.750

## Properties
formation energy (no corrections)	0.61	eV/atom
Fermi-level density of states	4.1	states/eV/cell
distance to the lowest polymorph of the same formula	0.304	eV per atom
space-group type	Fm-3m (225)


Record 4
Density functional theory data (GGA-PBE) for a relaxed structure of KAs3.

Unit cell a=6.357 b=6.357 c=6.357 alpha=154.20 beta=104.99 gamma=80.85
Sites, in units of the cell vectors:
As  0.599  0.669  0.930
As  0.261  0.331  0.930
As  0.196  0.500  0.696
K  0.778  0.000  0.778

## Properties
Fermi-level density of states	1.6	states/eV/cell
distance to the lowest polymorph of the same formula	0.118	eV per atom
space-group type	Imm2 (44)


Record 5
Density functional theory data (GGA-PBE) for a relaxed structure of TlCr2BIr.

Unit cell a=4.938 b=4.072 c=4.938 alpha=90.00 beta=90.00 gamma=90.00
Each line ends with the local moment (μB).
Sites, in units of the cell vectors:
Cr  0.000  0.000  0.500  3.35
Cr  0.500  0.000  0.000  3.67
Tl  0.500  0.500  0.500  0.04
Ir  0.000  0.000  0.000  -0.17
B  0.000  0.500  0.000  -0.07

## Properties
Fermi-level density of states	5.0	states/eV/cell
space-group type	P4/mmm (123)
calculated total energy	-6.555	eV per atom


Record 6
Density functional theory data (GGA-PBE) for a relaxed structure of CaMgSeN2.

Unit cell a=4.220 b=4.220 c=5.359 alpha=90.00 beta=90.00 gamma=90.00
Each line ends with the local moment (μB).
Sites, in units of the cell vectors:
Ca  0.500  0.500  0.500  0.01
Mg  0.000  0.000  0.000  -0.01
Se  0.000  0.000  0.500  0.22
N  0.000  0.500  0.000  1.22
N  0.500  0.000  0.000  1.22

## Properties
formation energy (no corrections)	0.33	eV/atom
Fermi-level density of states	1.9	states/eV/cell
distance to the lowest polymorph of the same formula	0.000	eV per atom
space-group type	P4/mmm (123)


Record 7
Density functional theory data (GGA-PBE) for a relaxed structure of Sc4OsPb.

Unit cell a=5.613 b=5.613 c=5.613 alpha=60.00 beta=60.00 gamma=60.00
Sites, in units of the cell vectors:
Sc  0.868  0.377  0.377
Sc  0.377  0.377  0.868
Sc  0.377  0.868  0.377
Sc  0.377  0.377  0.377
Os  0.750  0.750  0.750
Pb  0.000  0.000  0.000

## Properties
Fermi-level density of states	7.6	states/eV/cell
distance to the lowest polymorph of the same formula	0.792	eV per atom
space-group type	F-43m (216)


Record 8
Density functional theory data (GGA-PBE) for a relaxed structure of Ta2CrFeH.

Unit cell a=4.335 b=4.335 c=3.253 alpha=90.00 beta=90.00 gamma=90.00
Each line ends with the local moment (μB).
Sites, in units of the cell vectors:
Cr  0.000  0.000  0.500  0.15
Fe  0.500  0.500  0.500  1.26
H  0.000  0.000  0.000  0.00
Ta  0.000  0.500  0.000  -0.11
Ta  0.500  0.000  0.000  -0.11

## Properties
Fermi-level density of states	4.1	states/eV/cell
distance to the lowest polymorph of the same formula	0.040	eV per atom
space-group type	P4/mmm (123)


Question: Fermi-level density of states of number 2 (KLiCo2)?
Answer: 2.2 states/eV/cell